Compound: Er3Ga
Source: Alexandria
Functional: PBE-GGA
Structure: relaxed

## Properties
E, eV/atom: -4.475
Symmetry: Immm, No. 71

```
Er3Ga
1.0
-3.3027 -1.5390 -0.2717
1.4683 -3.7322 3.2910
-0.8827 5.7357 2.8091
Er Ga
3 1
Direct
0.7126 0.1292 0.4253
0.5000 0.4167 0.0000
0.2874 0.7039 0.5747
0.0000 0.9169 0.0000
```

Compound: La8GeAs3Se4
Source: Alexandria
Functional: PBE-GGA
Structure: relaxed

## Properties
Symmetry: R-3m, No. 166
E_form (uncorrected), eV/atom: -1.75

```
La8GeAs3Se4
1.0
-8.5755 1.0070 -1.2471
-1.2673 -0.1059 8.6284
5.6154 5.6757 -3.5163
La As Se Ge
8 3 4 1
Direct
0.2464 0.7412 0.4927
0.7470 0.7411 0.4941
0.7485 0.7413 0.9950
0.7536 0.2588 0.5073
0.7536 0.2587 0.0050
0.2464 0.7413 0.9950
0.2530 0.2589 0.5059
0.2515 0.2587 0.0050
0.5000 0.5000 0.5000
0.0000 0.5000 0.5000
0.5000 0.5000 0.0000
0.5000 0.0000 0.5000
0.5000 0.0000 0.0000
0.0000 0.0000 0.0000
0.0000 0.0000 0.5000
0.0000 0.5000 0.0000
```

Compound: Ag4H2I5
Source: Alexandria
Functional: PBE-GGA
Structure: relaxed

## Properties
E, eV/atom: -2.318
Symmetry: P-1, No. 2

```
Ag4H2I5
1.0
-5.6930 3.1969 4.3895
-8.2152 0.7632 -2.7881
-2.1031 -7.3385 -0.8607
Ag I H
4 5 2
Direct
0.0727 0.3182 0.9742
0.6414 0.6482 0.3392
0.3586 0.3518 0.6608
0.9273 0.6818 0.0258
0.1839 0.7833 0.2348
0.8161 0.2167 0.7652
0.5000 0.0000 0.0000
0.9318 0.6759 0.6602
0.0682 0.3241 0.3398
0.7007 0.4430 0.5368
0.2993 0.5570 0.4632
```

Compound: MnPt2Se
Source: Alexandria
Functional: PBE-GGA
Structure: relaxed

## Properties
Symmetry: Pmmm, No. 47
E_form (uncorrected), eV/atom: 0.01

```
MnPt2Se
1.0
3.1864 0.0000 0.0000
0.0000 4.5843 0.0000
0.0000 0.0000 4.4557
Pt Se Mn
2 1 1
Direct
0.5000 0.5000 0.0000
0.0000 0.0000 0.0000
0.5000 0.0000 0.5000
0.0000 0.5000 0.5000
```

Compound: Tb3TmSb2C
Source: Alexandria
Functional: PBE-GGA
Structure: relaxed

## Properties
Symmetry: Immm, No. 71
E_form (uncorrected), eV/atom: -0.80

```
Tb3TmSb2C
1.0
-3.4281 1.3510 -2.9568
1.6125 -3.1083 -3.2897
-3.8498 -4.7200 6.0811
Sb Tb C Tm
2 3 1 1
Direct
0.6412 0.6412 0.2823
0.3588 0.3588 0.7177
0.8416 0.8416 0.6832
0.0000 0.5000 0.0000
0.1584 0.1584 0.3168
0.0000 0.0000 0.0000
0.5000 0.0000 0.0000
```

Compound: LuThTi2
Source: Alexandria
Functional: PBE-GGA
Structure: relaxed

## Properties
Symmetry: Fm-3m, No. 225
Offset from the most stable computed form, eV/atom: 0.035

```
LuThTi2
1.0
5.0799 0.0000 0.0000
2.5400 4.3993 0.0000
2.5400 1.4664 4.1477
Ti Th Lu
2 1 1
Direct
0.2500 0.2500 0.2500
0.7500 0.7500 0.7500
0.5000 0.5000 0.5000
0.0000 0.0000 0.0000
```

Compound: Mn2AsBr
Source: Alexandria
Functional: PBE-GGA
Structure: relaxed

## Properties
Symmetry: Fm-3m, No. 225
E_form (uncorrected), eV/atom: 0.67
Offset from the most stable computed form, eV/atom: 0.744

```
Mn2AsBr
1.0
0.0000 3.0158 3.0158
3.0158 0.0000 3.0158
3.0158 3.0158 0.0000
As Mn Br
1 2 1
Direct
0.0000 0.0000 0.0000
0.7500 0.7500 0.7500
0.2500 0.2500 0.2500
0.5000 0.5000 0.5000
```

Compound: KBe2ZnCl8
Source: Alexandria
Functional: PBE-GGA
Structure: relaxed

## Properties
Symmetry: R-3, No. 148
E_form (uncorrected), eV/atom: -1.21

```
KBe2ZnCl8
1.0
6.0554 0.0000 0.0000
3.0277 5.2441 0.0000
3.0277 1.7480 8.9929
Cl Be K Zn
8 2 1 1
Direct
0.8171 0.8171 0.5487
0.7284 0.0388 0.8374
0.6047 0.2716 0.1626
0.1829 0.1829 0.4513
0.0388 0.3953 0.8374
0.3953 0.7284 0.8374
0.9612 0.6047 0.1626
0.2716 0.9612 0.1626
0.2578 0.2578 0.2267
0.7422 0.7422 0.7733
0.5000 0.5000 0.5000
0.0000 0.0000 0.0000
```

Compound: Rb2NdPa2Te6
Source: Alexandria
Functional: PBE-GGA
Structure: relaxed

## Properties
Symmetry: C2/m, No. 12
E_form (uncorrected), eV/atom: -1.07

```
Rb2NdPa2Te6
1.0
7.7264 -0.0391 0.0819
-3.8528 6.6974 0.0819
-1.3588 -2.3357 8.8340
Pa Te Rb Nd
2 6 2 1
Direct
0.6666 0.3334 0.5000
0.3334 0.6666 0.5000
0.9331 0.5922 0.2978
0.0669 0.4078 0.7022
0.2786 0.2786 0.2973
0.5922 0.9331 0.2978
0.4078 0.0669 0.7022
0.7214 0.7214 0.7027
0.8363 0.1637 0.0000
0.1637 0.8363 0.0000
0.0000 0.0000 0.5000
```

Compound: CsSbPb3
Source: Alexandria
Functional: PBE-GGA
Structure: relaxed

## Properties
Symmetry: Cm, No. 8
E_form (uncorrected), eV/atom: -0.18
Offset from the most stable computed form, eV/atom: 0.000

```
CsSbPb3
1.0
-1.6352 -2.3276 4.5762
4.5819 1.5078 2.4015
-1.4443 5.4115 5.4194
Pb Cs Sb
3 1 1
Direct
0.1483 0.4518 0.4087
0.7843 0.5877 0.1373
0.6480 0.9519 0.4087
0.4097 0.2128 0.8865
0.0174 0.8210 0.6699
```

Compound: ScBe17V
Source: Alexandria
Functional: PBE-GGA
Structure: relaxed

## Properties
E, eV/atom: -4.300
Symmetry: R3m, No. 160

```
ScBe17V
1.0
5.5274 0.0162 0.6703
0.5958 5.4953 0.6703
0.0180 0.0162 5.5679
Sc Be V
1 17 1
Direct
0.6619 0.6619 0.6619
0.0014 0.0014 0.4996
0.0031 0.7040 0.2922
0.9047 0.9047 0.9047
0.3431 0.3431 0.8456
0.6511 0.6511 0.1636
0.7040 0.0031 0.2922
0.2922 0.7040 0.0031
0.0031 0.2922 0.7040
0.6511 0.1636 0.6511
0.0014 0.4996 0.0014
0.1636 0.6511 0.6511
0.3431 0.8456 0.3431
0.7040 0.2922 0.0031
0.8456 0.3431 0.3431
0.4996 0.0014 0.0014
0.1014 0.1014 0.1014
0.2922 0.0031 0.7040
0.3334 0.3334 0.3334
```

Compound: Si3NiS
Source: Alexandria
Functional: PBE-GGA
Structure: relaxed

## Properties
Symmetry: Pm-3m, No. 221
E_form (uncorrected), eV/atom: 1.07
Offset from the most stable computed form, eV/atom: 0.702

```
Si3NiS
1.0
-0.4835 -3.8463 2.1354
4.0365 0.4664 1.7541
-1.7495 2.1392 3.4570
S Ni Si
1 1 3
Direct
0.0000 0.0000 0.0000
0.5000 0.5000 0.5000
0.0000 0.5000 0.0000
0.0000 0.0000 0.5000
0.5000 0.0000 0.0000
```

Compound: ReNiS4
Source: Alexandria
Functional: PBE-GGA
Structure: relaxed

## Properties
Symmetry: P2_1/c, No. 14
E_form (uncorrected), eV/atom: -0.27

```
ReNiS4
1.0
-1.8300 1.9997 5.0312
-3.2634 -4.6374 0.6562
4.2518 -2.6289 2.5659
S Ni Re
8 2 2
Direct
0.6200 0.1180 0.8874
0.1074 0.8861 0.6153
0.8926 0.1139 0.3846
0.3800 0.8820 0.1126
0.3926 0.3861 0.3846
0.1200 0.3820 0.8874
0.8800 0.6180 0.1126
0.6074 0.6139 0.6153
0.5000 0.0000 0.5000
0.0000 0.5000 0.5000
0.0000 0.0000 0.0000
0.5000 0.5000 0.0000
```

Compound: PmYSc2Hg4
Source: Alexandria
Functional: PBE-GGA
Structure: relaxed

## Properties
E, eV/atom: -3.579
Symmetry: R-3m, No. 166

```
PmYSc2Hg4
1.0
5.1636 0.0000 0.0000
2.5818 4.4718 0.0000
2.5818 1.4906 8.4587
Hg Pm Sc Y
4 1 2 1
Direct
0.8735 0.8735 0.3794
0.6232 0.6232 0.1305
0.3768 0.3768 0.8695
0.1265 0.1265 0.6206
0.0000 0.0000 0.0000
0.2496 0.2496 0.2513
0.7504 0.7504 0.7487
0.5000 0.5000 0.5000
```

Compound: Ta6NbPt
Source: Alexandria
Functional: PBE-GGA
Structure: relaxed

## Properties
E, eV/atom: -11.088
Symmetry: Amm2, No. 38

```
Ta6NbPt
1.0
4.6499 0.0000 0.0000
0.0000 5.6753 -0.2991
0.0000 2.1460 5.2624
Ta Pt Nb
6 1 1
Direct
0.5000 0.6222 0.8735
0.5000 0.1277 0.8723
0.0000 0.3765 0.6235
0.0000 0.8768 0.6261
0.0000 0.3739 0.1232
0.5000 0.1265 0.3778
0.0000 0.8760 0.1240
0.5000 0.6209 0.3791
```

Compound: PmDy2Sb
Source: Alexandria
Functional: PBE-GGA
Structure: relaxed

## Properties
Symmetry: Cmcm, No. 63
E_form (uncorrected), eV/atom: -0.56
Offset from the most stable computed form, eV/atom: 0.000

```
PmDy2Sb
1.0
-0.6548 2.9821 -2.7732
1.7656 -5.3984 -3.1535
-9.2507 -2.6419 -0.6566
Dy Pm Sb
4 2 2
Direct
0.6374 0.2750 0.4577
0.3626 0.7250 0.5423
0.3626 0.7250 0.9577
0.6374 0.2750 0.0423
0.0574 0.1149 0.7500
0.9426 0.8851 0.2500
0.2374 0.4750 0.2500
0.7626 0.5250 0.7500
```

Compound: Sr2Cd2Si
Source: Alexandria
Functional: PBE-GGA
Structure: relaxed

## Properties
Symmetry: P4/mbm, No. 127
E_form (uncorrected), eV/atom: -0.13
Offset from the most stable computed form, eV/atom: 0.000

```
Sr2Cd2Si
1.0
-0.6238 3.1700 6.8879
-7.3828 1.3211 -1.2766
-1.1553 -4.5387 1.9842
Cd Si Sr
4 2 4
Direct
0.8694 0.6306 0.0000
0.1306 0.3694 0.0000
0.6306 0.1306 0.0000
0.3694 0.8694 0.0000
0.5000 0.5000 0.0000
0.0000 0.0000 0.0000
0.8168 0.3168 0.5000
0.3168 0.1832 0.5000
0.1832 0.6832 0.5000
0.6832 0.8168 0.5000
```

Compound: CsNaCdSe2
Source: Alexandria
Functional: PBE-GGA
Structure: relaxed

## Properties
Symmetry: Cmme, No. 67
E_form (uncorrected), eV/atom: -0.89

```
CsNaCdSe2
1.0
6.6760 0.0000 0.0000
0.0000 6.7330 0.0000
0.0000 -3.3665 7.7702
Cd Cs Na Se
2 2 2 4
Direct
0.0000 0.5000 0.0000
0.0000 0.0000 0.0000
0.2340 0.7500 0.5000
0.7660 0.2500 0.5000
0.5000 0.2500 0.0000
0.5000 0.7500 0.0000
0.7423 0.8852 0.7703
0.7423 0.6148 0.2297
0.2577 0.1148 0.2297
0.2577 0.3852 0.7703
```

Compound: Ba2ZnIn3Pd4
Source: Alexandria
Functional: PBE-GGA
Structure: relaxed

## Properties
E, eV/atom: -3.978
Symmetry: P-4m2, No. 115

```
Ba2ZnIn3Pd4
1.0
-4.1370 1.8707 -1.6041
1.0895 -1.4229 -4.4694
-4.8687 -9.2576 1.7604
Pd In Zn Ba
4 3 1 2
Direct
0.5000 0.5000 0.0000
0.0000 0.0000 0.0000
0.5000 0.0000 0.6183
0.0000 0.5000 0.3817
0.0000 0.0000 0.5000
0.0000 0.5000 0.1223
0.5000 0.0000 0.8777
0.5000 0.5000 0.5000
0.0000 0.5000 0.7554
0.5000 0.0000 0.2446
```

Compound: LaZn3Pb
Source: Alexandria
Functional: PBE-GGA
Structure: relaxed

## Properties
Symmetry: Pm-3m, No. 221
Offset from the most stable computed form, eV/atom: 0.000

```
LaZn3Pb
1.0
5.2311 0.0000 0.0000
0.0000 5.2311 0.0000
0.0000 0.0000 5.2311
Zn Pb La
3 1 1
Direct
0.0000 0.5000 0.0000
0.5000 0.0000 0.0000
0.0000 0.0000 0.5000
0.0000 0.0000 0.0000
0.5000 0.5000 0.5000
```

Compound: Ce6TeP3Se2
Source: Alexandria
Functional: PBE-GGA
Structure: relaxed

## Properties
Symmetry: C2/m, No. 12
E_form (uncorrected), eV/atom: -1.61

```
Ce6TeP3Se2
1.0
4.1696 0.0000 0.0000
0.0000 8.4658 0.2269
-2.0848 -2.5176 8.8445
P Ce Se Te
3 6 2 1
Direct
0.5000 0.5000 0.0000
0.8349 0.1683 0.6699
0.1651 0.8317 0.3301
0.0029 0.7285 0.0058
0.6749 0.0763 0.3497
0.3371 0.4080 0.6741
0.6629 0.5920 0.3259
0.3251 0.9237 0.6503
0.9971 0.2715 0.9942
0.8325 0.6662 0.6650
0.1675 0.3338 0.3350
0.5000 0.0000 0.0000
```

Compound: MgCo2W
Source: Alexandria
Functional: PBE-GGA
Structure: relaxed

## Properties
E, eV/atom: -7.025
Symmetry: Cm, No. 8

```
MgCo2W
1.0
-3.9934 -2.3614 1.0859
-2.3957 -2.5794 3.2109
-2.4441 3.1005 2.1557
Co Mg W
2 1 1
Direct
0.2691 0.2691 0.2822
0.9830 0.9830 0.9653
0.5149 0.5149 0.4472
0.7330 0.7330 0.8052
```

Compound: SmZn2Cu9
Source: Alexandria
Functional: PBE-GGA
Structure: relaxed

## Properties
Symmetry: P6/mmm, No. 191
Offset from the most stable computed form, eV/atom: 0.151

```
SmZn2Cu9
1.0
-1.8975 1.6061 -1.1898
-5.2869 -6.4925 -0.3326
0.0481 5.0246 6.7056
Cu Zn Sm
9 2 1
Direct
0.0000 0.5000 0.5000
0.5000 0.6306 0.8153
0.5000 0.1847 0.8153
0.5000 0.3694 0.1847
0.5000 0.8153 0.6306
0.0000 0.5000 0.0000
0.5000 0.1847 0.3694
0.5000 0.8153 0.1847
0.0000 0.0000 0.5000
0.0000 0.3333 0.6667
0.0000 0.6667 0.3333
0.0000 0.0000 0.0000
```